{
  "formula": "Ca3SmHg12",
  "functional": "PBE-GGA",
  "state": "relaxed",
  "lattice_angstrom": [[4.688, 0.000, 0.000], [0.000, 4.688, 0.000], [0.000, 0.000, 18.698]],
  "species": ["Ca", "Ca", "Ca", "Hg", "Hg", "Hg", "Hg", "Hg", "Hg", "Hg", "Hg", "Hg", "Hg", "Hg", "Hg", "Sm"],
  "frac_coords": [[0.000, 0.000, 0.749], [0.000, 0.000, 0.500], [0.000, 0.000, 0.251], [0.500, 0.500, 0.249], [0.500, 0.000, 0.375], [0.500, 0.000, 0.876], [0.000, 0.500, 0.625], [0.000, 0.500, 0.124], [0.500, 0.500, 0.751], [0.000, 0.500, 0.375], [0.000, 0.500, 0.876], [0.500, 0.000, 0.124], [0.500, 0.500, 0.000], [0.500, 0.500, 0.500], [0.500, 0.000, 0.625], [0.000, 0.000, 0.000]],
  "final_energy_ev_per_atom": -1.2612,
  "delta_e_f_ev_per_atom": -0.36,
  "total_magnetization_mub_per_cell": 0.000
}